(1)
First-principles (PBE) data for a relaxed structure of Mg2PaCoGe2, as listed in Alexandria via LeMat-Bulk. Values from VASP.

Properties
* Fermi-level density of states: 8.6 states/eV per cell
* energy of formation: 2.49 eV/f.u.
* VASP energy: -4.42 eV per atom
* size of the total moment: 1.08 μB/cell

```
&SYSTEM
  ibrav = 0, nat = 6, ntyp = 4
/
ATOMIC_SPECIES
Mg 24.30 Mg.upf
Pa 231.04 Pa.upf
Co 58.93 Co.upf
Ge 72.64 Ge.upf
CELL_PARAMETERS angstrom
-2.548 2.548 5.211
2.548 -2.548 5.211
2.548 2.548 -5.211
ATOMIC_POSITIONS crystal
Mg 0.250 0.750 0.500
Mg 0.750 0.250 0.500
Pa 0.000 0.000 0.000
Co 0.500 0.500 0.000
Ge 0.287 0.287 0.000
Ge 0.713 0.713 0.000
```

(2)
First-principles (PBE) data for a relaxed structure of PrMgCoGe2, as listed in Alexandria via LeMat-Bulk. Values from VASP.

Properties
* Fermi-level density of states: 3.0 states/eV per cell
* energy of formation: -2.04 eV/f.u.
* VASP energy: -4.95 eV per atom
* size of the total moment: 0.00 μB/cell

```
&SYSTEM
  ibrav = 0, nat = 10, ntyp = 4
/
ATOMIC_SPECIES
Pr 140.91 Pr.upf
Mg 24.30 Mg.upf
Co 58.93 Co.upf
Ge 72.64 Ge.upf
CELL_PARAMETERS angstrom
5.467 0.000 0.000
0.000 5.878 0.000
0.000 0.000 5.955
ATOMIC_POSITIONS crystal
Pr 0.250 0.000 0.233
Pr 0.750 0.000 0.767
Mg 0.250 0.500 0.371
Mg 0.750 0.500 0.629
Co 0.000 0.500 0.000
Co 0.500 0.500 0.000
Ge 0.250 0.254 0.764
Ge 0.250 0.746 0.764
Ge 0.750 0.254 0.236
Ge 0.750 0.746 0.236
```

(3)
First-principles (PBE) data for a relaxed structure of MgCoGePt, as listed in Alexandria via LeMat-Bulk. Values from VASP.

Properties
* Fermi-level density of states: 1.6 states/eV per cell
* energy of formation: -1.32 eV/f.u.
* VASP energy: -5.17 eV per atom
* size of the total moment: 1.31 μB/cell

```
&SYSTEM
  ibrav = 0, nat = 4, ntyp = 4
/
ATOMIC_SPECIES
Mg 24.30 Mg.upf
Co 58.93 Co.upf
Ge 72.64 Ge.upf
Pt 195.08 Pt.upf
CELL_PARAMETERS angstrom
0.000 3.059 3.059
3.059 0.000 3.059
3.059 3.059 0.000
ATOMIC_POSITIONS crystal
Mg 0.000 0.000 0.000
Co 0.250 0.250 0.250
Ge 0.500 0.500 0.500
Pt 0.750 0.750 0.750
```

(4)
First-principles (PBE) data for a relaxed structure of MgCoGeRh, as listed in Alexandria via LeMat-Bulk. Values from VASP.

Properties
* Fermi-level density of states: 1.5 states/eV per cell
* energy of formation: -1.47 eV/f.u.
* VASP energy: -5.53 eV per atom
* size of the total moment: 0.00 μB/cell

```
&SYSTEM
  ibrav = 0, nat = 4, ntyp = 4
/
ATOMIC_SPECIES
Mg 24.30 Mg.upf
Co 58.93 Co.upf
Ge 72.64 Ge.upf
Rh 102.91 Rh.upf
CELL_PARAMETERS angstrom
0.000 2.992 2.992
2.992 0.000 2.992
2.992 2.992 0.000
ATOMIC_POSITIONS crystal
Mg 0.000 0.000 0.000
Co 0.750 0.750 0.750
Ge 0.500 0.500 0.500
Rh 0.250 0.250 0.250
```

(5)
First-principles (PBE) data for a relaxed structure of MgCo2SiGe, as listed in Alexandria via LeMat-Bulk. Values from VASP.

Properties
* Fermi-level density of states: 5.3 states/eV per cell
* VASP energy: -3.72 eV per atom
* E_form (uncorrected): 1.45 eV/atom
* size of the total moment: 2.69 μB/cell

```
&SYSTEM
  ibrav = 0, nat = 5, ntyp = 4
/
ATOMIC_SPECIES
Mg 24.30 Mg.upf
Co 58.93 Co.upf
Si 28.09 Si.upf
Ge 72.64 Ge.upf
CELL_PARAMETERS angstrom
4.463 0.000 0.000
0.000 4.463 0.000
0.000 0.000 4.685
ATOMIC_POSITIONS crystal
Mg 0.000 0.000 0.000
Co 0.000 0.500 0.000
Co 0.500 0.000 0.000
Si 0.500 0.500 0.500
Ge 0.000 0.000 0.500
```

(6)
First-principles (PBE) data for a relaxed structure of SmMgCo2Ge2, as listed in Alexandria via LeMat-Bulk. Values from VASP.

Properties
* Fermi-level density of states: 4.5 states/eV per cell
* energy of formation: -2.91 eV/f.u.
* VASP energy: -5.45 eV per atom
* size of the total moment: 0.00 μB/cell

```
&SYSTEM
  ibrav = 0, nat = 6, ntyp = 4
/
ATOMIC_SPECIES
Sm 150.36 Sm.upf
Mg 24.30 Mg.upf
Co 58.93 Co.upf
Ge 72.64 Ge.upf
CELL_PARAMETERS angstrom
4.144 0.000 0.000
-2.072 3.589 0.000
0.000 0.000 6.762
ATOMIC_POSITIONS crystal
Sm 0.000 0.000 0.000
Mg 0.000 0.000 0.500
Co 0.333 0.667 0.639
Co 0.667 0.333 0.361
Ge 0.333 0.667 0.278
Ge 0.667 0.333 0.722
```

(7)
First-principles (PBE) data for a relaxed structure of SmMgCoGe2, as listed in Alexandria via LeMat-Bulk. Values from VASP.

Properties
* Fermi-level density of states: 3.0 states/eV per cell
* energy of formation: -2.08 eV/f.u.
* VASP energy: -4.95 eV per atom
* size of the total moment: 0.00 μB/cell

```
&SYSTEM
  ibrav = 0, nat = 10, ntyp = 4
/
ATOMIC_SPECIES
Sm 150.36 Sm.upf
Mg 24.30 Mg.upf
Co 58.93 Co.upf
Ge 72.64 Ge.upf
CELL_PARAMETERS angstrom
5.452 0.000 0.000
0.000 5.766 0.000
0.000 0.000 5.885
ATOMIC_POSITIONS crystal
Sm 0.250 0.000 0.230
Sm 0.750 0.000 0.770
Mg 0.250 0.500 0.374
Mg 0.750 0.500 0.626
Co 0.000 0.500 0.000
Co 0.500 0.500 0.000
Ge 0.250 0.244 0.764
Ge 0.250 0.756 0.764
Ge 0.750 0.244 0.236
Ge 0.750 0.756 0.236
```

(8)
First-principles (PBE) data for a relaxed structure of SrMgCo2Ge2, as listed in Alexandria via LeMat-Bulk. Values from VASP.

Properties
* Fermi-level density of states: 4.5 states/eV per cell
* energy of formation: -2.19 eV/f.u.
* VASP energy: -4.82 eV per atom
* size of the total moment: 0.19 μB/cell

```
&SYSTEM
  ibrav = 0, nat = 6, ntyp = 4
/
ATOMIC_SPECIES
Sr 87.62 Sr.upf
Mg 24.30 Mg.upf
Co 58.93 Co.upf
Ge 72.64 Ge.upf
CELL_PARAMETERS angstrom
4.174 0.000 0.000
-2.087 3.615 0.000
0.000 0.000 7.271
ATOMIC_POSITIONS crystal
Sr 0.000 0.000 0.000
Mg 0.000 0.000 0.500
Co 0.333 0.667 0.626
Co 0.667 0.333 0.374
Ge 0.333 0.667 0.296
Ge 0.667 0.333 0.704
```

(9)
First-principles (PBE) data for a relaxed structure of SrMgCoGe, as listed in Alexandria via LeMat-Bulk. Values from VASP.

Properties
* Fermi-level density of states: 5.2 states/eV per cell
* energy of formation: -0.90 eV/f.u.
* VASP energy: -3.98 eV per atom
* size of the total moment: 0.00 μB/cell

```
&SYSTEM
  ibrav = 0, nat = 8, ntyp = 4
/
ATOMIC_SPECIES
Sr 87.62 Sr.upf
Mg 24.30 Mg.upf
Co 58.93 Co.upf
Ge 72.64 Ge.upf
CELL_PARAMETERS angstrom
4.057 0.000 0.000
0.000 4.057 0.000
0.000 0.000 11.842
ATOMIC_POSITIONS crystal
Sr 0.250 0.250 0.226
Sr 0.750 0.750 0.774
Mg 0.250 0.750 0.500
Mg 0.750 0.250 0.500
Co 0.250 0.750 0.000
Co 0.750 0.250 0.000
Ge 0.250 0.250 0.898
Ge 0.750 0.750 0.102
```

(10)
First-principles (PBE) data for a relaxed structure of MgCoGe2Te, as listed in Alexandria via LeMat-Bulk. Values from VASP.

Properties
* Fermi-level density of states: 2.8 states/eV per cell
* VASP energy: -4.15 eV per atom
* E_form (uncorrected): 0.06 eV/atom
* size of the total moment: 0.00 μB/cell

```
&SYSTEM
  ibrav = 0, nat = 5, ntyp = 4
/
ATOMIC_SPECIES
Mg 24.30 Mg.upf
Co 58.93 Co.upf
Ge 72.64 Ge.upf
Te 127.60 Te.upf
CELL_PARAMETERS angstrom
4.412 0.000 0.000
0.000 4.412 0.000
0.000 0.000 5.818
ATOMIC_POSITIONS crystal
Mg 0.000 0.000 0.000
Co 0.500 0.500 0.500
Ge 0.000 0.500 0.500
Ge 0.500 0.000 0.500
Te 0.500 0.500 0.000
```

(11)
First-principles (PBE) data for a relaxed structure of ThMg2CoGe2, as listed in Alexandria via LeMat-Bulk. Values from VASP.

Properties
* Fermi-level density of states: 3.5 states/eV per cell
* energy of formation: 1.32 eV/f.u.
* VASP energy: -4.27 eV per atom
* size of the total moment: 0.00 μB/cell

```
&SYSTEM
  ibrav = 0, nat = 6, ntyp = 4
/
ATOMIC_SPECIES
Th 232.04 Th.upf
Mg 24.30 Mg.upf
Co 58.93 Co.upf
Ge 72.64 Ge.upf
CELL_PARAMETERS angstrom
-2.531 2.531 5.330
2.531 -2.531 5.330
2.531 2.531 -5.330
ATOMIC_POSITIONS crystal
Th 0.000 0.000 0.000
Mg 0.250 0.750 0.500
Mg 0.750 0.250 0.500
Co 0.500 0.500 0.000
Ge 0.294 0.294 0.000
Ge 0.706 0.706 0.000
```

(12)
First-principles (PBE) data for a relaxed structure of Th2MgCo3Ge4, as listed in Alexandria via LeMat-Bulk. Values from VASP.

Properties
* Fermi-level density of states: 8.2 states/eV per cell
* energy of formation: -5.49 eV/f.u.
* VASP energy: -6.17 eV per atom
* size of the total moment: 0.82 μB/cell

```
&SYSTEM
  ibrav = 0, nat = 10, ntyp = 4
/
ATOMIC_SPECIES
Th 232.04 Th.upf
Mg 24.30 Mg.upf
Co 58.93 Co.upf
Ge 72.64 Ge.upf
CELL_PARAMETERS angstrom
4.162 0.000 0.000
0.000 4.162 0.000
0.000 0.000 10.233
ATOMIC_POSITIONS crystal
Th 0.000 0.500 0.233
Th 0.500 0.000 0.767
Mg 0.000 0.000 0.500
Co 0.000 0.500 0.882
Co 0.500 0.000 0.118
Co 0.500 0.500 0.500
Ge 0.000 0.000 0.000
Ge 0.000 0.500 0.651
Ge 0.500 0.000 0.349
Ge 0.500 0.500 0.000
```

(13)
First-principles (PBE) data for a relaxed structure of Mg2TiCoGe, as listed in Alexandria via LeMat-Bulk. Values from VASP.

Properties
* Fermi-level density of states: 8.5 states/eV per cell
* energy of formation: 3.69 eV/f.u.
* VASP energy: -3.82 eV per atom
* size of the total moment: 0.87 μB/cell

```
&SYSTEM
  ibrav = 0, nat = 5, ntyp = 4
/
ATOMIC_SPECIES
Mg 24.30 Mg.upf
Ti 47.87 Ti.upf
Co 58.93 Co.upf
Ge 72.64 Ge.upf
CELL_PARAMETERS angstrom
4.806 0.000 0.000
0.000 4.806 0.000
0.000 0.000 4.869
ATOMIC_POSITIONS crystal
Mg 0.000 0.500 0.000
Mg 0.500 0.000 0.000
Ti 0.000 0.000 0.500
Co 0.500 0.500 0.500
Ge 0.000 0.000 0.000
```